1 | ## BaNd2Lu (GGA-PBE)

Data for an optimized crystal structure of BaNd2Lu.

Computed properties:
* V: 454 Å³ per cell

Cell lengths 3.6616, 3.6616, 39.1189 Å; angles 90.00, 90.00, 120.00 degrees
Space group R-3m (No. 166, hexagonal axes)
Unique sites:
Ba  0.0000  0.0000  0.0000 x3
Nd  0.0000  0.0000  0.0944 x6
Lu  0.0000  0.0000  0.5000 x3

2 | ## BaNd2Lu (GGA-PBE)

Data for an optimized crystal structure of BaNd2Lu.

Computed properties:
* V: 153 Å³ per cell

Cell lengths 3.780, 3.780, 10.684 Å; angles 90.00, 90.00, 90.00 degrees
Space group P4/mmm (No. 123)
Unique sites:
Ba  0.000  0.000  0.000 x1
Nd  0.500  0.500  0.287 x2
Lu  0.000  0.000  0.500 x1

Energetically preferred structure: 2 | next structure: +85 meV per atom

1 | ## BaLu2O4 (GGA-PBE)

Data for an optimized crystal structure of BaLu2O4.

Computed properties:
* V: 426 Å³ per cell

Cell lengths 3.381, 11.116, 11.337 Å; angles 90.00, 90.00, 90.00 degrees
Space group Cmcm (No. 63)
Unique sites:
Ba  0.000  0.112  0.250 x4
Lu  0.000  0.365  0.070 x8
O  0.000  0.000  0.000 x4
O  0.000  0.260  0.600 x8
O  0.000  0.431  0.250 x4

2 | ## BaLu2O4 (GGA-PBE)

Data for an optimized crystal structure of BaLu2O4.

Computed properties:
* V: 421 Å³ per cell

Cell lengths 10.355, 3.393, 11.968 Å; angles 90.00, 90.00, 90.00 degrees
Space group Pnma (No. 62)
Unique sites:
Ba  0.246  0.250  0.150 x4
Lu  0.072  0.250  0.390 x4
Lu  0.078  0.250  0.892 x4
O  0.020  0.750  0.783 x4
O  0.069  0.250  0.573 x4
O  0.112  0.750  0.017 x4
O  0.209  0.750  0.348 x4

Energetically preferred structure: 2 | next structure: +42 meV per atom

1 | ## BaLuPd2 (GGA-PBE)

Data for an optimized crystal structure of BaLuPd2.

Computed properties:
* V: 98 Å³ per cell

Cell lengths 3.583, 3.583, 7.649 Å; angles 90.00, 90.00, 90.00 degrees
Space group P4/mmm (No. 123)
Unique sites:
Ba  0.000  0.000  0.000 x1
Lu  0.000  0.000  0.500 x1
Pd  0.500  0.500  0.307 x2

2 | ## BaLuPd2 (GGA-PBE)

Data for an optimized crystal structure of BaLuPd2.

Computed properties:
* V: 336 Å³ per cell

Cell lengths 4.6892, 4.6892, 17.6208 Å; angles 90.00, 90.00, 120.00 degrees
Space group R-3m (No. 166, hexagonal axes)
Unique sites:
Ba  0.0000  0.0000  0.0000 x3
Lu  0.0000  0.0000  0.5000 x3
Pd  0.0000  0.0000  0.2080 x6

Energetically preferred structure: 1 | next structure: +55 meV per atom